Arrangement i

## MgMn2O4 (SCAN)

Data for MgMn2O4 at its PBEsol-relaxed geometry.

Lattice parameters (Å, degrees): 5.5855 10.6801 5.6505 90.00 118.39 90.00
Space group P2_1/c (No. 14)
One atom of each set of equivalent atoms:
Mg 0.1625 0.1147 0.0466
Mn 0.1193 0.6205 0.0034
Mn 0.4323 0.1433 0.5978
O 0.0734 0.2079 0.3430
O 0.2278 0.5561 0.7437
O 0.2310 0.0514 0.7342
O 0.4688 0.6937 0.1766

---

Arrangement ii

## MgMn2O4 (SCAN)

Data for MgMn2O4 at its PBEsol-relaxed geometry.

Properties
DOS at the Fermi energy: 2.8 states/eV per cell

Lattice parameters (Å, degrees): 5.0737 2.9221 5.1548 90.00 106.30 90.00
Space group P2/m (No. 10)
One atom of each set of equivalent atoms:
Mg 0.0000 0.0000 0.0000
Mn 0.0000 0.5000 0.5000
Mn 0.5000 0.0000 0.5000
O 0.2129 0.0000 0.7005
O 0.2236 0.5000 0.2577

---

Arrangement iii

## MgMn2O4 (SCAN)

Data for MgMn2O4 at its PBEsol-relaxed geometry.

Lattice parameters (Å, degrees): 5.6995 5.6995 9.3915 90.00 90.00 90.00
Space group I4_1/amd (No. 141, origin choice 2)
One atom of each set of equivalent atoms:
Mg 0.0000 0.2500 0.3750
Mn 0.0000 0.0000 0.0000
O 0.0000 0.0246 0.7543

---

Most stable to least stable, the ends of the list are arrangement iii and arrangement ii.

---

Arrangement i

## MgMn2O4 (SCAN)

Data for MgMn2O4 at its PBEsol-relaxed geometry.

Properties
DOS at the Fermi energy: 0.1 states/eV per cell

Lattice parameters (Å, degrees): 5.8362 5.9319 8.4163 90.00 90.00 90.00
Space group Imma (No. 74)
One atom of each set of equivalent atoms:
Mg 0.0000 0.0000 0.0000
Mn 0.0000 0.2500 0.3837
Mn 0.2500 0.2500 0.7500
O 0.0000 0.0287 0.7524
O 0.2368 0.2500 0.9761

---

Arrangement ii

## MgMn2O4 (SCAN)

Data for MgMn2O4 at its PBEsol-relaxed geometry.

Properties
DOS at the Fermi energy: 10.9 states/eV per cell

Lattice parameters (Å, degrees): 5.7660 5.7660 14.6456 90.00 90.00 120.00
Space group R3m (No. 160, hexagonal axes)
One atom of each set of equivalent atoms:
Mg 0.0000 0.0000 0.0000
Mg 0.0000 0.0000 0.3757
Mn 0.0000 0.0000 0.7517
Mn 0.0007 0.5004 0.8769
O 0.0000 0.0000 0.1376
O 0.0000 0.0000 0.6161
O 0.0275 0.5138 0.1358
O 0.1803 0.3607 0.9505

---

Arrangement iii

## MgMn2O4 (SCAN)

Data for MgMn2O4 at its PBEsol-relaxed geometry.

Lattice parameters (Å, degrees): 3.0303 9.8611 9.2320 90.00 90.00 90.00
Space group C222_1 (No. 20)
One atom of each set of equivalent atoms:
Mg 0.0000 0.0950 0.2500
Mn 0.0823 0.3634 0.4295
O 0.0000 0.4577 0.2500
O 0.0148 0.0000 0.0000
O 0.1571 0.2748 0.6143

---

Most stable to least stable, the ends of the list are arrangement i and arrangement ii.

---

Arrangement i

## Mg2MnRe (SCAN)

Data for Mg2MnRe at its PBEsol-relaxed geometry.

Properties
DOS at the Fermi energy: 5.8 states/eV per cell

Lattice parameters (Å, degrees): 3.7401 3.7401 8.6680 90.00 90.00 90.00
Space group I4/mmm (No. 139)
One atom of each set of equivalent atoms:
Mg 0.0000 0.5000 0.2500
Mn 0.0000 0.0000 0.0000
Re 0.0000 0.0000 0.5000

---

Arrangement ii

## Mg2MnRe (SCAN)

Data for Mg2MnRe at its PBEsol-relaxed geometry.

Properties
DOS at the Fermi energy: 7.7 states/eV per cell

Lattice parameters (Å, degrees): 2.7850 2.7850 28.2008 90.00 90.00 120.00
Space group R-3m (No. 166, hexagonal axes)
One atom of each set of equivalent atoms:
Mg 0.0000 0.0000 0.2505
Mn 0.0000 0.0000 0.0000
Re 0.0000 0.0000 0.5000

---

Most stable to least stable, the ends of the list are arrangement ii and arrangement i.

---

Arrangement i

## Mg2MnRu (SCAN)

Data for Mg2MnRu at its PBEsol-relaxed geometry.

Properties
DOS at the Fermi energy: 2.7 states/eV per cell

Lattice parameters (Å, degrees): 2.8813 2.8813 7.5692 90.00 90.00 90.00
Space group P4mm (No. 99)
One atom of each set of equivalent atoms:
Mg 0.0000 0.0000 0.0000
Mg 0.5000 0.5000 0.3373
Mn 0.0000 0.0000 0.5798
Ru 0.5000 0.5000 0.7490

---

Arrangement ii

## Mg2MnRu (SCAN)

Data for Mg2MnRu at its PBEsol-relaxed geometry.

Properties
DOS at the Fermi energy: 2.0 states/eV per cell

Lattice parameters (Å, degrees): 3.5088 4.1618 4.2223 90.00 90.00 90.00
Space group Pmmm (No. 47)
One atom of each set of equivalent atoms:
Mg 0.0000 0.0000 0.0000
Mg 0.5000 0.5000 0.0000
Mn 0.0000 0.5000 0.5000
Ru 0.5000 0.0000 0.5000

---

Most stable to least stable, the ends of the list are arrangement ii and arrangement i.

---

Arrangement i

## Mg2MnW (SCAN)

Data for Mg2MnW at its PBEsol-relaxed geometry.

Properties
DOS at the Fermi energy: 2.1 states/eV per cell

Lattice parameters (Å, degrees): 3.0376 3.0376 7.1171 90.00 90.00 90.00
Space group P4mm (No. 99)
One atom of each set of equivalent atoms:
Mg 0.0000 0.0000 0.0000
Mg 0.5000 0.5000 0.3144
Mn 0.0000 0.0000 0.5616
W 0.5000 0.5000 0.7256

---

Arrangement ii

## Mg2MnW (SCAN)

Data for Mg2MnW at its PBEsol-relaxed geometry.

Properties
DOS at the Fermi energy: 5.2 states/eV per cell

Lattice parameters (Å, degrees): 8.9144 2.7322 5.3067 90.00 95.41 90.00
Space group Cm (No. 8)
One atom of each set of equivalent atoms:
Mg 0.0000 0.0000 0.0000
Mg 0.2421 0.0000 0.7478
Mn 0.4969 0.0000 0.4575
W 0.2509 0.5000 0.2797

---

Most stable to least stable, the ends of the list are arrangement i and arrangement ii.

---

Arrangement i

## MgMo (SCAN)

Data for MgMo at its PBEsol-relaxed geometry.

Properties
DOS at the Fermi energy: 10.3 states/eV per cell

Lattice parameters (Å, degrees): 6.3974 6.3974 6.3974 90.00 90.00 90.00
Space group Fd-3m (No. 227, origin choice 2)
One atom of each set of equivalent atoms:
Mg 0.1250 0.1250 0.1250
Mo 0.1250 0.1250 0.6250

---

Arrangement ii

## MgMo (SCAN)

Data for MgMo at its PBEsol-relaxed geometry.

Properties
DOS at the Fermi energy: 4.3 states/eV per cell

Lattice parameters (Å, degrees): 6.3706 6.3706 6.3706 90.00 90.00 90.00
Space group F-43m (No. 216)
One atom of each set of equivalent atoms:
Mg 0.0000 0.0000 0.0000
Mo 0.2500 0.2500 0.7500

---

Arrangement iii

## MgMo (SCAN)

Data for MgMo at its PBEsol-relaxed geometry.

Properties
DOS at the Fermi energy: 4.5 states/eV per cell

Lattice parameters (Å, degrees): 2.8154 2.8154 14.6230 90.00 90.00 120.00
Space group R-3m (No. 166, hexagonal axes)
One atom of each set of equivalent atoms:
Mg 0.0000 0.0000 0.0000
Mo 0.0000 0.0000 0.5000

---

Arrangement iv

## MgMo (SCAN)

Data for MgMo at its PBEsol-relaxed geometry.

Properties
DOS at the Fermi energy: 2.3 states/eV per cell

Lattice parameters (Å, degrees): 3.2136 3.2136 3.2136 90.00 90.00 90.00
Space group Pm-3m (No. 221)
One atom of each set of equivalent atoms:
Mg 0.0000 0.0000 0.0000
Mo 0.5000 0.5000 0.5000

---

Most stable to least stable, the ends of the list are arrangement i and arrangement ii.